Material: Rb3TbMgV2O8
Method: DFT, PBE with a Hubbard U
State: relaxed

Summary:
electronic total energy	-6.43	eV/atom
total magnetization	0.13	μB/atom

Unit cell a=5.674 b=5.957 c=9.055 alpha=83.04 beta=89.49 gamma=68.02
Element x y z (fractional)
Rb 0.000 0.000 0.000
Rb 0.288 0.436 0.593
Rb 0.665 0.672 0.814
Tb 0.543 0.814 0.342
Mg 0.693 0.298 0.263
V 0.232 0.424 0.093
V 0.948 0.100 0.544
O 0.247 0.516 0.904
O 0.294 0.958 0.527
O 0.367 0.596 0.215
O 0.501 0.121 0.155
O 0.773 0.431 0.455
O 0.819 0.089 0.717
O 0.824 0.974 0.399
O 0.926 0.418 0.139